1.
The following is a PBE calculation of an optimized crystal structure of Be2Fe2Bi, from the Alexandria database.

## Properties
energy above the lowest structure with this stoichiometry: 15.3 kJ/mol of formula units
formation enthalpy at 0 K: 2.07 eV/f.u.
space-group type: I4/mmm
DFT total energy: -52.4 eV per cell

```
data_Be2Fe2Bi
_chemical_formula_sum 'Be4 Fe4 Bi2'
_cell_length_a 3.638
_cell_length_b 3.638
_cell_length_c 10.408
_cell_angle_alpha 90.00
_cell_angle_beta 90.00
_cell_angle_gamma 90.00
_space_group_name_H-M_alt 'P 1'
_space_group_IT_number 1
loop_
_space_group_symop_operation_xyz
'x,y,z'
loop_
_atom_site_label
_atom_site_fract_x
_atom_site_fract_y
_atom_site_fract_z
Be1 0.000 0.000 0.118
Be2 0.000 0.000 0.882
Be3 0.500 0.500 0.382
Be4 0.500 0.500 0.618
Fe1 0.000 0.500 0.250
Fe2 0.000 0.500 0.750
Fe3 0.500 0.000 0.250
Fe4 0.500 0.000 0.750
Bi1 0.000 0.000 0.500
Bi2 0.500 0.500 0.000
```

=====

2.
The following is a PBE calculation of an optimized crystal structure of CuRh, from the Alexandria database.

## Properties
formation enthalpy at 0 K: 0.11 eV/f.u.
space-group type: Pmmn
DFT total energy: -22.7 eV per cell

```
data_CuRh
_chemical_formula_sum 'Cu2 Rh2'
_cell_length_a 2.683
_cell_length_b 4.356
_cell_length_c 4.562
_cell_angle_alpha 90.00
_cell_angle_beta 90.00
_cell_angle_gamma 90.00
_space_group_name_H-M_alt 'P 1'
_space_group_IT_number 1
loop_
_space_group_symop_operation_xyz
'x,y,z'
loop_
_atom_site_label
_atom_site_fract_x
_atom_site_fract_y
_atom_site_fract_z
Cu1 0.250 0.250 0.074
Cu2 0.750 0.750 0.926
Rh1 0.250 0.750 0.424
Rh2 0.750 0.250 0.576
```

=====

3.
The following is a PBE calculation of an optimized crystal structure of FeSiTc2, from the Alexandria database.

## Properties
energy relative to the elements, uncorrected: -0.203 eV/atom
space-group type: P4mm
DFT total energy: -35.4 eV per cell

```
data_FeSiTc2
_chemical_formula_sum 'Fe1 Si1 Tc2'
_cell_length_a 2.817
_cell_length_b 2.817
_cell_length_c 6.405
_cell_angle_alpha 90.00
_cell_angle_beta 90.00
_cell_angle_gamma 90.00
_space_group_name_H-M_alt 'P 1'
_space_group_IT_number 1
loop_
_space_group_symop_operation_xyz
'x,y,z'
loop_
_atom_site_label
_atom_site_fract_x
_atom_site_fract_y
_atom_site_fract_z
Fe1 0.000 0.000 0.000
Si1 0.500 0.500 0.198
Tc1 0.000 0.000 0.450
Tc2 0.500 0.500 0.731
```

=====

4.
The following is a PBE calculation of an optimized crystal structure of PaBr2F5, from the Alexandria database.

## Properties
energy relative to the elements, uncorrected: -2.715 eV/atom
space-group type: P1
DFT total energy: -43.9 eV per cell

```
data_PaBr2F5
_chemical_formula_sum 'Pa1 Br2 F5'
_cell_length_a 5.240
_cell_length_b 6.727
_cell_length_c 7.227
_cell_angle_alpha 70.03
_cell_angle_beta 71.15
_cell_angle_gamma 80.81
_space_group_name_H-M_alt 'P 1'
_space_group_IT_number 1
loop_
_space_group_symop_operation_xyz
'x,y,z'
loop_
_atom_site_label
_atom_site_fract_x
_atom_site_fract_y
_atom_site_fract_z
Pa1 0.000 0.000 0.000
Br1 0.221 0.418 0.653
Br2 0.601 0.269 0.462
F1 0.003 0.882 0.770
F2 0.020 0.145 0.211
F3 0.376 0.848 0.001
F4 0.664 0.202 0.964
F5 0.798 0.758 0.242
```

=====

- Which value of DFT total energy does entry 3 give?
  -35.4 eV per cell

=====

- Which of these has the lowest DFT total energy?
  Be2Fe2Bi

=====

- Which of these has the highest DFT total energy?
  CuRh

=====

- Among the records above, which one has the lowest DFT total energy?
  Be2Fe2Bi